DFT (meta-GGA SCAN) results for a PBEsol-optimized structure of CoSiTe2Se.

Structure (POSCAR):
```
CoSiTe2Se
1.0
5.039 0.000 0.000
0.000 5.039 0.000
0.000 0.000 4.221
Co Si Te Se
1 1 2 1
Direct
0.000 0.000 0.000
0.000 0.000 0.500
0.000 0.500 0.000
0.500 0.000 0.000
0.500 0.500 0.500
```

- VASP energy: -23.939 eV per atom

***

DFT (meta-GGA SCAN) results for a PBEsol-optimized structure of Co2Sn3Se3.

Structure (POSCAR):
```
Co2Sn3Se3
1.0
6.113 3.529 4.983
-6.113 3.529 4.983
0.000 -7.059 4.983
Co Sn Se
8 12 12
Direct
0.241 0.241 0.241
0.241 0.745 0.737
0.255 0.263 0.759
0.263 0.759 0.255
0.737 0.241 0.745
0.745 0.737 0.241
0.759 0.255 0.263
0.759 0.759 0.759
0.000 0.157 0.672
0.000 0.843 0.328
0.157 0.672 0.000
0.173 0.501 0.343
0.328 0.000 0.843
0.343 0.173 0.501
0.499 0.657 0.827
0.501 0.343 0.173
0.657 0.827 0.499
0.672 0.000 0.157
0.827 0.499 0.657
0.843 0.328 0.000
0.002 0.157 0.339
0.157 0.339 0.002
0.161 0.499 0.657
0.339 0.002 0.157
0.343 0.839 0.501
0.499 0.657 0.161
0.501 0.343 0.839
0.657 0.161 0.499
0.661 0.998 0.843
0.839 0.501 0.343
0.843 0.661 0.998
0.998 0.843 0.661
```

- VASP energy: -25.659 eV per atom

***

DFT (meta-GGA SCAN) results for a PBEsol-optimized structure of SrCo2Se.

Structure (POSCAR):
```
SrCo2Se
1.0
1.994 1.151 5.301
-1.994 1.151 5.301
0.000 -2.303 5.301
Sr Co Se
1 2 1
Direct
0.000 0.000 0.000
0.197 0.197 0.197
0.520 0.520 0.520
0.802 0.802 0.802
```

- VASP energy: -19.498 eV per atom

***

Number 1: uncorrected formation energy 0.441 eV/atom, M_tot 0.000 μB/cell. Number 2: uncorrected formation energy -0.333 eV/atom, M_tot 0.000 μB/cell. Number 3: uncorrected formation energy -0.257 eV/atom, M_tot 3.251 μB/cell.